Entry 1:
Computed, not measured: a relaxed structure of ErZn3Rh at the PBE level of DFT.

The structure belongs to space group R3m (No. 160, hexagonal axes); the cell edges are 6.7097, 6.7097 and 7.5490 Å and the angles 90.00°, 90.00° and 120.00°. The distinct sites, in fractional coordinates, are Er at (0.0000, 0.0000, 0.0000), Zn at (0.0735, 0.5367, 0.0460) and Rh at (0.0000, 0.0000, 0.6490).

For the formation energy, the calculation gives -0.26 eV per atom. The calculation puts the total energy at -3.40 eV per atom. The magnetic moment is 0.00 μB/cell.

=====

Entry 2:
Computed, not measured: a relaxed structure of ScPaMo2 at the PBE level of DFT.

The structure belongs to space group P4/mmm (No. 123); the cell edges are 3.401, 3.401 and 6.720 Å and the angles 90.00°, 90.00° and 90.00°. The distinct sites, in fractional coordinates, are Sc at (0.000, 0.000, 0.000), Pa at (0.000, 0.000, 0.500) and Mo at (0.500, 0.500, 0.273).

For the formation energy, the calculation gives 0.06 eV per atom. The calculation puts the total energy at -9.31 eV per atom. As for the energy above the lowest structure with this stoichiometry: 0.063 eV per atom. The magnetic moment is 0.00 μB/cell.

=====

Entry 3:
Computed, not measured: a relaxed structure of TmGaHgAu at the PBE level of DFT.

The structure belongs to space group F-43m (No. 216); the cell edges are 6.944, 6.944 and 6.944 Å and the angles 90.00°, 90.00° and 90.00°. The distinct sites, in fractional coordinates, are Tm at (0.000, 0.000, 0.000), Ga at (0.000, 0.000, 0.500), Hg at (0.250, 0.250, 0.250) and Au at (0.250, 0.250, 0.750).

For the formation energy, the calculation gives -0.47 eV per atom. The calculation puts the total energy at -3.24 eV per atom. The magnetic moment is 0.00 μB/cell.

=====

Entry 4:
Computed, not measured: a relaxed structure of HfP2O8 at the PBE level of DFT.

The structure belongs to space group P-3m1 (No. 164); the cell edges are 5.4565, 5.4565 and 6.4309 Å and the angles 90.00°, 90.00° and 120.00°. The distinct sites, in fractional coordinates, are Hf at (0.0000, 0.0000, 0.0000), P at (0.3333, 0.6667, 0.7406), O at (0.1799, 0.3598, 0.8207) and O at (0.3333, 0.6667, 0.5009).

For the formation energy (no corrections), the calculation gives -51.07 kcal/mol of atoms. The calculation puts the total energy at -7.71 eV per atom. The magnetic moment is 2.01 μB/cell.

=====

Entry 5:
Computed, not measured: a relaxed structure of BaSc2Ni at the PBE level of DFT.

The structure belongs to space group Imm2 (No. 44); the cell edges are 3.414, 3.659 and 18.125 Å and the angles 90.00°, 90.00° and 90.00°. The distinct sites, in fractional coordinates, are Ba at (0.000, 0.000, 0.000), Sc at (0.000, 0.000, 0.328), Sc at (0.000, 0.500, 0.177) and Ni at (0.000, 0.500, 0.723).

For the formation energy, the calculation gives 0.09 eV per atom. The calculation puts the total energy at -5.00 eV per atom. As for the energy above the lowest structure with this stoichiometry: 0.110 eV per atom. The magnetic moment is 0.00 μB/cell.

=====

Entry 6:
Computed, not measured: a relaxed structure of CeLuPu2 at the PBE level of DFT.

The structure belongs to space group P4/mmm (No. 123); the cell edges are 3.330, 3.330 and 9.415 Å and the angles 90.00°, 90.00° and 90.00°. The distinct sites, in fractional coordinates, are Ce at (0.000, 0.000, 0.000), Lu at (0.000, 0.000, 0.500) and Pu at (0.500, 0.500, 0.232).

For the formation energy, the calculation gives 0.14 eV per atom. The calculation puts the total energy at -9.64 eV per atom. As for the energy above the lowest structure with this stoichiometry: 0.000 eV per atom. The magnetic moment is 11.08 μB/cell.